[1]
Computed, not measured: a geometry-optimized Ba2Na4H structure at the PBE-GGA level of DFT.

For the total energy, the calculation gives -1.7168 eV/atom. The value obtained for the total moment is 2.355 μB per cell.

It has space group I4/mmm (No. 139), with a = 5.111 Å, b = 5.111 Å, c = 21.144 Å, α = 90.00°, β = 90.00° and γ = 90.00°. The inequivalent atoms are Ba at (0.000, 0.000, 0.190), Na at (0.000, 0.000, 0.390), Na at (0.000, 0.500, 0.000) and H at (0.000, 0.000, 0.500).

[2]
Computed, not measured: a geometry-optimized NaPt3N structure at the PBE-GGA level of DFT.

For the total energy, the calculation gives -2.8692 eV/atom. The energy above the lowest structure with this stoichiometry is 2367 meV/atom. Its energy relative to the elements, uncorrected is 2684 meV per atom. The value obtained for the total moment is 3.794 μB per cell.

It has space group Pm-3m (No. 221), with a = 4.730 Å, b = 4.730 Å, c = 4.730 Å, α = 90.00°, β = 90.00° and γ = 90.00°. The inequivalent atoms are Na at (0.000, 0.000, 0.000), Pt at (0.000, 0.000, 0.500) and N at (0.500, 0.500, 0.500).

[3]
Computed, not measured: a geometry-optimized Ca2SbN structure at the PBE-GGA level of DFT.

For the total energy, the calculation gives -4.1001 eV/atom. The energy above the lowest structure with this stoichiometry is 687 meV/atom. Its energy relative to the elements, uncorrected is 13 meV per atom. The value obtained for the total moment is 7.992 μB per cell.

It has space group Fm-3m (No. 225), with a = 7.245 Å, b = 7.245 Å, c = 7.245 Å, α = 90.00°, β = 90.00° and γ = 90.00°. The inequivalent atoms are Ca at (0.250, 0.250, 0.250), Sb at (0.000, 0.000, 0.000) and N at (0.000, 0.000, 0.500).

[4]
Computed, not measured: a geometry-optimized RbRe3Sb structure at the PBE-GGA level of DFT.

For the total energy, the calculation gives -4.5164 eV/atom. The energy above the lowest structure with this stoichiometry is 1378 meV/atom. Its energy relative to the elements, uncorrected is 3970 meV per atom. The value obtained for the total moment is 2.385 μB per cell.

It has space group Pm-3m (No. 221), with a = 4.787 Å, b = 4.787 Å, c = 4.787 Å, α = 90.00°, β = 90.00° and γ = 90.00°. The inequivalent atoms are Rb at (0.000, 0.000, 0.000), Re at (0.000, 0.000, 0.500) and Sb at (0.500, 0.500, 0.500).

[5]
Computed, not measured: a geometry-optimized Np2Fe5Co5 structure at the PBE-GGA level of DFT.

The formation energy comes out at 0.00 eV per atom. For the total energy, the calculation gives -8.6465 eV/atom. The value obtained for the total moment is 10.561 μB per cell.

It has space group Pmmm (No. 47), with a = 4.047 Å, b = 4.878 Å, c = 8.370 Å, α = 90.00°, β = 90.00° and γ = 90.00°. The inequivalent atoms are Np at (0.000, 0.000, 0.000), Np at (0.000, 0.500, 0.500), Fe at (0.000, 0.000, 0.328), Fe at (0.000, 0.500, 0.168), Fe at (0.500, 0.000, 0.500), Co at (0.500, 0.250, 0.249) and Co at (0.500, 0.500, 0.000).

[6]
Computed, not measured: a geometry-optimized Nd6Tl5Cu structure at the PBE-GGA level of DFT.

The formation energy comes out at -0.32 eV per atom. For the total energy, the calculation gives -4.0334 eV/atom. The value obtained for the total moment is 0.001 μB per cell.

It has space group P2/m (No. 10), with a = 5.478 Å, b = 7.757 Å, c = 8.647 Å, α = 90.00°, β = 108.30° and γ = 90.00°. The inequivalent atoms are Nd at (0.000, 0.237, 0.000), Nd at (0.340, 0.242, 0.679), Tl at (0.166, 0.000, 0.333), Tl at (0.169, 0.500, 0.338), Tl at (0.500, 0.500, 0.000) and Cu at (0.500, 0.000, 0.000).